Material: TiCdGeAs2
Method: DFT, PBE
State: optimized geometry

Geometry as POSCAR:
```
TiCdGeAs2
1.0
5.0954 0.0000 0.0000
0.0000 5.0954 0.0000
0.0000 0.0000 4.9510
Ti Cd Ge As
1 1 1 2
direct
0.0000 0.0000 0.0000
0.5000 0.5000 0.5000
0.5000 0.5000 0.0000
0.0000 0.5000 0.5000
0.5000 0.0000 0.5000
```

Values from the calculation:
Spin magnetization ... 0.02 μB per formula unit
Density ... 4.94 Mg/m³
DFT total energy ... -17.3 eV for the cell shown
Energy of formation ... 104.51 kJ per mole of atoms



Material: Pm2Ho4Th
Method: DFT, PBE
State: optimized geometry

Geometry as POSCAR:
```
Pm2Ho4Th
1.0
-2.8468 2.8468 8.4387
2.8468 -2.8468 8.4387
2.8468 2.8468 -8.4387
Pm Ho Th
2 4 1
direct
0.1153 0.1153 0.0000
0.8847 0.8847 0.0000
0.0000 0.5000 0.5000
0.3197 0.3197 0.0000
0.5000 0.0000 0.5000
0.6803 0.6803 0.0000
0.5000 0.5000 0.0000
```

Values from the calculation:
Spin magnetization ... 0.00 μB per formula unit
Density ... 7.17 Mg/m³
DFT total energy ... -29.9 eV for the cell shown
Energy of formation ... 72.86 kJ per mole of atoms



Material: GdTmRu
Method: DFT, PBE
State: optimized geometry

Geometry as POSCAR:
```
GdTmRu
1.0
0.0000 3.3705 3.3705
3.3705 0.0000 3.3705
3.3705 3.3705 0.0000
Gd Tm Ru
1 1 1
direct
0.0000 0.0000 0.0000
0.5000 0.5000 0.5000
0.2500 0.2500 0.2500
```

Values from the calculation:
Spin magnetization ... 7.09 μB per formula unit
Density ... 9.26 Mg/m³
DFT total energy ... -28.7 eV for the cell shown
Energy of formation ... -27.93 kJ per mole of atoms